# 1
16
Lattice="6.4049 0.0000 0.0000 0.0000 6.4049 0.0000 0.0000 0.0000 6.4049" Properties=species:S:1:pos:R:3 comment="TmHfFeCo | Alexandria via LeMat-Bulk | PBE-GGA | relaxed" formation_enthalpy_0k_mev_per_atom=-189 pbc="T T T"
Tm 0.0000 0.0000 0.0000
Tm 0.0000 3.2024 3.2024
Tm 3.2024 0.0000 3.2024
Tm 3.2024 3.2024 0.0000
Hf 0.0000 0.0000 3.2024
Hf 0.0000 3.2024 0.0000
Hf 3.2024 0.0000 0.0000
Hf 3.2024 3.2024 3.2024
Fe 1.6012 1.6012 1.6012
Fe 1.6012 4.8037 4.8037
Fe 4.8037 1.6012 4.8037
Fe 4.8037 4.8037 1.6012
Co 1.6012 1.6012 4.8037
Co 1.6012 4.8037 1.6012
Co 4.8037 1.6012 1.6012
Co 4.8037 4.8037 4.8037

=====

# 2
6
Lattice="0.0000 4.8696 4.8696 4.8696 0.0000 4.8696 4.8696 4.8696 0.0000" Properties=species:S:1:pos:R:3 comment="Sr4TcHg | Alexandria via LeMat-Bulk | PBE-GGA | relaxed" formation_enthalpy_0k_mev_per_atom=1010 pbc="T T T"
Sr 1.2090 1.2090 1.2090
Sr 3.6606 3.6606 1.2090
Sr 3.6606 1.2090 3.6606
Sr 1.2090 3.6606 3.6606
Tc 7.3044 7.3044 7.3044
Hg 4.8696 4.8696 4.8696

=====

# 3
8
Lattice="3.4325 0.0000 0.0000 0.0000 4.5780 0.0000 0.0000 0.0000 9.9716" Properties=species:S:1:pos:R:3 comment="LiMg2Ta | Alexandria via LeMat-Bulk | PBE-GGA | relaxed" formation_enthalpy_0k_mev_per_atom=162 e_above_lowest_polymorph_mev_per_atom=18 pbc="T T T"
Li 0.0000 0.0000 0.0000
Li 1.7162 2.2890 0.0000
Mg 0.0000 2.2890 2.5242
Mg 0.0000 2.2890 7.4474
Mg 1.7162 0.0000 2.5242
Mg 1.7162 0.0000 7.4474
Ta 0.0000 0.0000 4.9858
Ta 1.7162 2.2890 4.9858

=====

# 4
5
Lattice="4.0201 0.0000 0.0000 0.0000 4.0201 0.0000 0.0000 0.0000 3.7747" Properties=species:S:1:pos:R:3 comment="Ti2VCuH | Alexandria via LeMat-Bulk | PBE-GGA | relaxed" e_above_lowest_polymorph_mev_per_atom=0 pbc="T T T"
Ti 0.0000 2.0101 0.0000
Ti 2.0101 0.0000 0.0000
V 0.0000 0.0000 1.8873
Cu 2.0101 2.0101 1.8873
H 0.0000 0.0000 0.0000

=====

Number 1: total DFT energy (no corrections) -7.69 eV per atom. Number 2: total DFT energy (no corrections) -1.89 eV per atom. Number 3: total DFT energy (no corrections) -4.08 eV per atom. Number 4: total DFT energy (no corrections) -6.56 eV per atom.